# Nb6Tc2W (GGA-PBE, relaxed)
data_Nb6Tc2W
_cell_length_a 3.1161
_cell_length_b 7.6893
_cell_length_c 7.6893
_cell_angle_alpha 120.00
_cell_angle_beta 90.00
_cell_angle_gamma 90.00
_space_group_name_H-M_alt 'P 1'
_space_group_IT_number 1
loop_
_space_group_symop_operation_xyz
'x,y,z'
loop_
_atom_site_label
_atom_site_fract_x
_atom_site_fract_y
_atom_site_fract_z
_atom_site_occupancy
Nb1 0.2295 0.6277 0.7027 1
Nb2 0.2295 0.0751 0.3723 1
Nb3 0.2295 0.2973 0.9249 1
Nb4 0.7705 0.3723 0.2973 1
Nb5 0.7705 0.9249 0.6277 1
Nb6 0.7705 0.7027 0.0751 1
Tc1 0.2599 0.6667 0.3333 1
Tc2 0.7401 0.3333 0.6667 1
W1 0.5000 0.0000 0.0000 1
# Raw total energy = -93.53 eV for the cell shown
# SG = P-3 (147)
# ΔE_f = 55 kJ/mol of formula units
# Energy above the lowest structure with this stoichiometry = 231 meV per atom

# NbTc3W (GGA-PBE, relaxed)
data_NbTc3W
_cell_length_a 4.6326
_cell_length_b 4.6326
_cell_length_c 4.6326
_cell_angle_alpha 90.00
_cell_angle_beta 90.00
_cell_angle_gamma 90.00
_space_group_name_H-M_alt 'P 1'
_space_group_IT_number 1
loop_
_space_group_symop_operation_xyz
'x,y,z'
loop_
_atom_site_label
_atom_site_fract_x
_atom_site_fract_y
_atom_site_fract_z
_atom_site_occupancy
Nb1 0.5000 0.5000 0.5000 1
Tc1 0.0000 0.5000 0.0000 1
Tc2 0.0000 0.0000 0.5000 1
Tc3 0.5000 0.0000 0.0000 1
W1 0.0000 0.0000 0.0000 1
# Raw total energy = -46.18 eV for the cell shown
# SG = Pm-3m (221)
# ΔE_f = 766 kJ/mol of formula units
# Energy above the lowest structure with this stoichiometry = 0 meV per atom

# NbTcW4 (GGA-PBE, relaxed)
data_NbTcW4
_cell_length_a 3.1855
_cell_length_b 5.2912
_cell_length_c 6.9485
_cell_angle_alpha 110.27
_cell_angle_beta 103.25
_cell_angle_gamma 107.52
_space_group_name_H-M_alt 'P 1'
_space_group_IT_number 1
loop_
_space_group_symop_operation_xyz
'x,y,z'
loop_
_atom_site_label
_atom_site_fract_x
_atom_site_fract_y
_atom_site_fract_z
_atom_site_occupancy
Nb1 0.9979 0.4973 0.0019 1
Tc1 0.4978 0.9973 0.5019 1
W1 0.1623 0.9952 0.8329 1
W2 0.8334 0.9994 0.1708 1
W3 0.6645 0.4938 0.3386 1
W4 0.3312 0.5008 0.6651 1
# Raw total energy = -72.39 eV for the cell shown
# SG = C2/m (12)
# ΔE_f = -14 kJ/mol of formula units

# Nb6TcW3 (GGA-PBE, relaxed)
data_Nb6TcW3
_cell_length_a 4.5919
_cell_length_b 7.9599
_cell_length_c 9.7286
_cell_angle_alpha 105.70
_cell_angle_beta 90.00
_cell_angle_gamma 90.00
_space_group_name_H-M_alt 'P 1'
_space_group_IT_number 1
loop_
_space_group_symop_operation_xyz
'x,y,z'
loop_
_atom_site_label
_atom_site_fract_x
_atom_site_fract_y
_atom_site_fract_z
_atom_site_occupancy
Nb1 0.2500 0.4534 0.1011 1
Nb2 0.7500 0.5466 0.8989 1
Nb3 0.2500 0.1501 0.1993 1
Nb4 0.7500 0.8499 0.8007 1
Nb5 0.2500 0.6478 0.6965 1
Nb6 0.7500 0.3522 0.3035 1
Nb7 0.2500 0.2464 0.5016 1
Nb8 0.7500 0.7536 0.4984 1
Nb9 0.2500 0.8503 0.3045 1
Nb10 0.7500 0.1497 0.6955 1
Nb11 0.2500 0.0521 0.8966 1
Nb12 0.7500 0.9479 0.1034 1
Tc1 0.2500 0.9502 0.5990 1
Tc2 0.7500 0.0498 0.4010 1
W1 0.2500 0.5490 0.3997 1
W2 0.7500 0.4510 0.6003 1
W3 0.2500 0.3506 0.7994 1
W4 0.7500 0.6494 0.2006 1
W5 0.2500 0.7509 0.0013 1
W6 0.7500 0.2491 0.9987 1
# Raw total energy = -221.58 eV for the cell shown
# SG = P2_1/m (11)
# ΔE_f = -111 kJ/mol of formula units
# Energy above the lowest structure with this stoichiometry = 0 meV per atom

# Nb4Tc3W (GGA-PBE, relaxed)
data_Nb4Tc3W
_cell_length_a 3.2060
_cell_length_b 3.2060
_cell_length_c 12.8445
_cell_angle_alpha 90.00
_cell_angle_beta 90.00
_cell_angle_gamma 90.00
_space_group_name_H-M_alt 'P 1'
_space_group_IT_number 1
loop_
_space_group_symop_operation_xyz
'x,y,z'
loop_
_atom_site_label
_atom_site_fract_x
_atom_site_fract_y
_atom_site_fract_z
_atom_site_occupancy
Nb1 0.0000 0.0000 0.8733 1
Nb2 0.0000 0.0000 0.1267 1
Nb3 0.0000 0.0000 0.3755 1
Nb4 0.0000 0.0000 0.6245 1
Tc1 0.5000 0.5000 0.2525 1
Tc2 0.5000 0.5000 0.5000 1
Tc3 0.5000 0.5000 0.7475 1
W1 0.5000 0.5000 0.0000 1
# Raw total energy = -86.46 eV for the cell shown
# SG = P4/mmm (123)
# ΔE_f = -206 kJ/mol of formula units

# NbTc2W (GGA-PBE, relaxed)
data_NbTc2W
_cell_length_a 3.1474
_cell_length_b 4.4828
_cell_length_c 4.4828
_cell_angle_alpha 90.00
_cell_angle_beta 90.00
_cell_angle_gamma 90.00
_space_group_name_H-M_alt 'P 1'
_space_group_IT_number 1
loop_
_space_group_symop_operation_xyz
'x,y,z'
loop_
_atom_site_label
_atom_site_fract_x
_atom_site_fract_y
_atom_site_fract_z
_atom_site_occupancy
Nb1 0.5000 0.5000 0.5000 1
Tc1 0.0000 0.0000 0.5000 1
Tc2 0.0000 0.5000 0.0000 1
W1 0.5000 0.0000 0.0000 1
# Raw total energy = -44.33 eV for the cell shown
# SG = P4/mmm (123)
# ΔE_f = -55 kJ/mol of formula units

# Nb4Tc2W3 (GGA-PBE, relaxed)
data_Nb4Tc2W3
_cell_length_a 4.5293
_cell_length_b 4.5295
_cell_length_c 8.4277
_cell_angle_alpha 90.00
_cell_angle_beta 90.00
_cell_angle_gamma 60.00
_space_group_name_H-M_alt 'P 1'
_space_group_IT_number 1
loop_
_space_group_symop_operation_xyz
'x,y,z'
loop_
_atom_site_label
_atom_site_fract_x
_atom_site_fract_y
_atom_site_fract_z
_atom_site_occupancy
Nb1 0.6667 0.6667 0.8899 1
Nb2 0.0000 0.0000 0.3299 1
Nb3 0.0000 0.0000 0.6701 1
Nb4 0.3333 0.3333 0.1101 1
Tc1 0.3333 0.3333 0.7740 1
Tc2 0.6667 0.6667 0.2260 1
W1 0.3333 0.3333 0.4513 1
W2 0.0000 0.0000 0.0000 1
W3 0.6667 0.6667 0.5487 1
# Raw total energy = -101.39 eV for the cell shown
# SG = P-3m1 (164)
# ΔE_f = -146 kJ/mol of formula units

# Nb3Tc2W3 (GGA-PBE, relaxed)
data_Nb3Tc2W3
_cell_length_a 3.1634
_cell_length_b 7.0803
_cell_length_c 7.0803
_cell_angle_alpha 120.00
_cell_angle_beta 90.00
_cell_angle_gamma 90.00
_space_group_name_H-M_alt 'P 1'
_space_group_IT_number 1
loop_
_space_group_symop_operation_xyz
'x,y,z'
loop_
_atom_site_label
_atom_site_fract_x
_atom_site_fract_y
_atom_site_fract_z
_atom_site_occupancy
Nb1 0.5000 0.4120 0.4120 1
Nb2 0.5000 0.5880 0.0000 1
Nb3 0.5000 0.0000 0.5880 1
Tc1 0.0000 0.3333 0.6667 1
Tc2 0.0000 0.6667 0.3333 1
W1 0.0000 0.7887 0.7887 1
W2 0.0000 0.2113 0.0000 1
W3 0.0000 0.0000 0.2113 1
# Raw total energy = -87.21 eV for the cell shown
# SG = P-62m (189)
# ΔE_f = 250 kJ/mol of formula units

# Nb2Tc3W (GGA-PBE, relaxed)
data_Nb2Tc3W
_cell_length_a 3.1710
_cell_length_b 3.1710
_cell_length_c 9.5317
_cell_angle_alpha 90.00
_cell_angle_beta 90.00
_cell_angle_gamma 90.00
_space_group_name_H-M_alt 'P 1'
_space_group_IT_number 1
loop_
_space_group_symop_operation_xyz
'x,y,z'
loop_
_atom_site_label
_atom_site_fract_x
_atom_site_fract_y
_atom_site_fract_z
_atom_site_occupancy
Nb1 0.5000 0.5000 0.8337 1
Nb2 0.5000 0.5000 0.1663 1
Tc1 0.0000 0.0000 0.0000 1
Tc2 0.0000 0.0000 0.6617 1
Tc3 0.0000 0.0000 0.3383 1
W1 0.5000 0.5000 0.5000 1
# Raw total energy = -65.46 eV for the cell shown
# SG = P4/mmm (123)
# ΔE_f = -122 kJ/mol of formula units
# Energy above the lowest structure with this stoichiometry = 3 meV per atom

# Nb2Tc4W (GGA-PBE, relaxed)
data_Nb2Tc4W
_cell_length_a 5.3895
_cell_length_b 5.3895
_cell_length_c 5.3895
_cell_angle_alpha 108.51
_cell_angle_beta 109.95
_cell_angle_gamma 109.95
_space_group_name_H-M_alt 'P 1'
_space_group_IT_number 1
loop_
_space_group_symop_operation_xyz
'x,y,z'
loop_
_atom_site_label
_atom_site_fract_x
_atom_site_fract_y
_atom_site_fract_z
_atom_site_occupancy
Nb1 0.5000 0.5000 0.0000 1
Nb2 0.5000 0.0000 0.5000 1
Tc1 0.5000 0.0000 0.0000 1
Tc2 0.5000 0.5000 0.5000 1
Tc3 0.0000 0.0000 0.5000 1
Tc4 0.0000 0.5000 0.0000 1
W1 0.0000 0.0000 0.0000 1
# Raw total energy = -72.60 eV for the cell shown
# SG = I4/mmm (139)
# ΔE_f = 189 kJ/mol of formula units
# Energy above the lowest structure with this stoichiometry = 0 meV per atom

# NbTc4W (GGA-PBE, relaxed)
data_NbTc4W
_cell_length_a 5.1215
_cell_length_b 5.1215
_cell_length_c 5.1215
_cell_angle_alpha 60.00
_cell_angle_beta 60.00
_cell_angle_gamma 60.00
_space_group_name_H-M_alt 'P 1'
_space_group_IT_number 1
loop_
_space_group_symop_operation_xyz
'x,y,z'
loop_
_atom_site_label
_atom_site_fract_x
_atom_site_fract_y
_atom_site_fract_z
_atom_site_occupancy
Nb1 0.0000 0.0000 0.0000 1
Tc1 0.6252 0.6252 0.1243 1
Tc2 0.6252 0.1243 0.6252 1
Tc3 0.6252 0.6252 0.6252 1
Tc4 0.1243 0.6252 0.6252 1
W1 0.2500 0.2500 0.2500 1
# Raw total energy = -64.05 eV for the cell shown
# SG = F-43m (216)
# ΔE_f = 42 kJ/mol of formula units

# NbTc2W (GGA-PBE, relaxed)
data_NbTc2W
_cell_length_a 7.1677
_cell_length_b 7.1677
_cell_length_c 5.7256
_cell_angle_alpha 51.25
_cell_angle_beta 51.25
_cell_angle_gamma 90.00
_space_group_name_H-M_alt 'P 1'
_space_group_IT_number 1
loop_
_space_group_symop_operation_xyz
'x,y,z'
loop_
_atom_site_label
_atom_site_fract_x
_atom_site_fract_y
_atom_site_fract_z
_atom_site_occupancy
Nb1 0.5000 0.5000 0.0000 1
Nb2 0.2500 0.7500 0.5000 1
Tc1 0.6370 0.1250 0.2500 1
Tc2 0.1130 0.6250 0.2500 1
Tc3 0.3750 0.3630 0.7500 1
Tc4 0.8750 0.8870 0.7500 1
W1 0.0000 0.0000 0.0000 1
W2 0.7500 0.2500 0.5000 1
# Raw total energy = -82.04 eV for the cell shown
# SG = I-42d (122)
# ΔE_f = 264 kJ/mol of formula units

Number 1: D(E_F) 0.95 states/eV per atom. Number 2: D(E_F) 0.99 states/eV per atom. Number 3: D(E_F) 0.55 states/eV per atom. Number 4: D(E_F) 0.63 states/eV per atom. Number 5: D(E_F) 0.58 states/eV per atom. Number 6: D(E_F) 0.66 states/eV per atom. Number 7: D(E_F) 0.51 states/eV per atom. Number 8: D(E_F) 1.16 states/eV per atom. Number 9: D(E_F) 0.49 states/eV per atom. Number 10: D(E_F) 1.64 states/eV per atom. Number 11: D(E_F) 1.05 states/eV per atom. Number 12: D(E_F) 0.97 states/eV per atom.